Entry 1:
{"formula": "CrMo2", "functional": "SCAN", "state": "PBEsol geometry", "total_energy_ev_per_cell": -87.9, "ef_ev_per_atom": 0.091, "cell": [[-0.621, 2.551, -0.344], [-4.162, -1.007, 0.043], [2.004, 0.981, 3.655]], "species": ["Mo", "Mo", "Cr"], "fractional_positions": [[0.331, 0.333, 0.667], [0.669, 0.667, 0.333], [0.000, 0.000, 0.000]]}

=====

Entry 2:
{"formula": "CaMg4Mn", "functional": "SCAN", "state": "PBEsol geometry", "total_energy_ev_per_cell": -47.4, "ef_ev_per_atom": 0.068, "cell": [[5.831, 0.000, 0.000], [2.916, 5.050, 0.000], [2.916, 1.683, 4.761]], "species": ["Mg", "Mg", "Mg", "Mg", "Mn", "Ca"], "fractional_positions": [[0.376, 0.376, 0.376], [0.376, 0.872, 0.376], [0.376, 0.376, 0.872], [0.872, 0.376, 0.376], [0.750, 0.750, 0.750], [0.000, 0.000, 0.000]]}

=====

Entry 3:
{"formula": "BiRhN2F", "functional": "SCAN", "state": "PBEsol geometry", "e_form_raw_mev_per_atom": 396, "total_energy_ev_per_cell": -132.5, "cell": [[-1.439, -3.099, -1.976], [2.487, -2.383, 1.927], [-2.767, -0.555, 2.884]], "species": ["N", "N", "F", "Bi", "Rh"], "fractional_positions": [[0.500, 0.000, 0.000], [0.000, 0.500, 0.000], [0.000, 0.000, 0.500], [0.500, 0.500, 0.500], [0.000, 0.000, 0.000]]}

=====

Entry 4:
{"formula": "CaSe2S", "functional": "SCAN", "state": "PBEsol geometry", "e_form_raw_mev_per_atom": -587, "total_energy_ev_per_cell": -123.6, "cell": [[5.530, 0.000, 0.000], [0.000, 5.530, 0.000], [-2.765, -2.765, 7.444]], "species": ["S", "S", "Ca", "Ca", "Se", "Se", "Se", "Se"], "fractional_positions": [[0.750, 0.250, 0.500], [0.500, 0.500, 0.000], [0.250, 0.750, 0.500], [0.000, 0.000, 0.000], [0.802, 0.375, 0.250], [0.625, 0.552, 0.750], [0.125, 0.198, 0.750], [0.448, 0.875, 0.250]]}

=====

Entry 5:
{"formula": "Eu3SbO7", "functional": "SCAN", "state": "PBEsol geometry", "e_form_raw_mev_per_atom": -2683, "total_energy_ev_per_cell": -543.1, "cell": [[6.518, -0.013, 0.000], [-2.243, 6.120, 0.000], [0.000, 0.000, 7.614]], "species": ["Eu", "Eu", "Eu", "Eu", "Eu", "Eu", "O", "O", "O", "O", "O", "O", "O", "O", "O", "O", "O", "O", "O", "O", "Sb", "Sb"], "fractional_positions": [[0.998, 0.529, 0.750], [0.500, 0.500, 0.500], [0.002, 0.471, 0.250], [0.529, 0.998, 0.250], [0.471, 0.002, 0.750], [0.500, 0.500, 0.000], [0.629, 0.371, 0.750], [0.636, 0.364, 0.250], [0.927, 0.680, 0.029], [0.073, 0.320, 0.529], [0.680, 0.927, 0.529], [0.936, 0.064, 0.250], [0.371, 0.629, 0.250], [0.320, 0.073, 0.471], [0.680, 0.927, 0.971], [0.364, 0.636, 0.750], [0.927, 0.680, 0.471], [0.320, 0.073, 0.029], [0.073, 0.320, 0.971], [0.064, 0.936, 0.750], [0.000, 0.000, 0.500], [0.000, 0.000, 0.000]]}

=====

Entry 6:
{"formula": "Na3ScPt", "functional": "SCAN", "state": "PBEsol geometry", "total_energy_ev_per_cell": -89.7, "ef_ev_per_atom": 1.470, "cell": [[5.535, 0.000, 0.000], [0.000, 5.535, 0.000], [0.000, 0.000, 5.535]], "species": ["Na", "Na", "Na", "Pt", "Sc"], "fractional_positions": [[0.500, 0.000, 0.000], [0.000, 0.000, 0.500], [0.000, 0.500, 0.000], [0.500, 0.500, 0.500], [0.000, 0.000, 0.000]]}

=====

Entry 7:
{"formula": "ZrTiCo2", "functional": "SCAN", "state": "PBEsol geometry", "total_energy_ev_per_cell": -82.9, "ef_ev_per_atom": -0.383, "cell": [[4.297, 0.000, 0.000], [2.148, 3.721, 0.000], [2.148, 1.240, 3.508]], "species": ["Ti", "Co", "Co", "Zr"], "fractional_positions": [[0.000, 0.000, 0.000], [0.250, 0.250, 0.250], [0.750, 0.750, 0.750], [0.500, 0.500, 0.500]]}

=====

Entry 8:
{"formula": "KW2Se", "functional": "SCAN", "state": "PBEsol geometry", "e_form_raw_mev_per_atom": 1196, "total_energy_ev_per_cell": -163.0, "cell": [[2.601, 0.009, 0.000], [-0.260, 5.132, 0.000], [-1.170, -2.571, 5.892]], "species": ["Se", "W", "W", "K"], "fractional_positions": [[0.500, 0.500, 0.000], [0.000, 0.000, 0.500], [0.500, 0.500, 0.500], [0.000, 0.000, 0.000]]}

=====

Entry 9:
{"formula": "AgP2SBr", "functional": "SCAN", "state": "PBEsol geometry", "e_form_raw_mev_per_atom": 1185, "total_energy_ev_per_cell": -75.3, "cell": [[4.636, 0.000, 0.000], [0.000, 4.849, 0.000], [0.000, 0.000, 4.849]], "species": ["Ag", "Br", "S", "P", "P"], "fractional_positions": [[0.000, 0.000, 0.000], [0.500, 0.500, 0.500], [0.500, 0.000, 0.000], [0.000, 0.500, 0.000], [0.000, 0.000, 0.500]]}

=====

Entry 10:
{"formula": "SiNi2Ru", "functional": "SCAN", "state": "PBEsol geometry", "e_form_raw_mev_per_atom": -253, "total_energy_ev_per_cell": -78.2, "cell": [[-1.702, -1.512, 1.388], [1.573, -3.060, -1.404], [3.847, 0.659, 2.875]], "species": ["Ni", "Ni", "Ru", "Si"], "fractional_positions": [[0.582, 0.500, 0.165], [0.185, 0.000, 0.369], [0.923, 0.000, 0.847], [0.323, 0.500, 0.647]]}

=====

Entry 11:
{"formula": "Cd2B2As", "functional": "SCAN", "state": "PBEsol geometry", "total_energy_ev_per_cell": -91.9, "ef_ev_per_atom": 0.803, "cell": [[-2.763, 2.348, 1.379], [-2.464, -2.994, 0.112], [5.081, -0.623, 3.821]], "species": ["As", "Cd", "Cd", "B", "B"], "fractional_positions": [[0.000, 0.000, 0.000], [0.249, 0.751, 0.500], [0.751, 0.249, 0.500], [0.682, 0.682, 0.114], [0.318, 0.318, 0.886]]}

=====

Entry 12:
{"formula": "MnBe4Si", "functional": "SCAN", "state": "PBEsol geometry", "e_form_raw_mev_per_atom": -110, "total_energy_ev_per_cell": -46.3, "cell": [[4.141, 0.000, 0.000], [2.071, 3.587, 0.000], [2.071, 1.196, 3.381]], "species": ["Be", "Be", "Be", "Be", "Mn", "Si"], "fractional_positions": [[0.377, 0.869, 0.377], [0.377, 0.377, 0.869], [0.377, 0.377, 0.377], [0.869, 0.377, 0.377], [0.750, 0.750, 0.750], [0.000, 0.000, 0.000]]}

=====

Entry 13:
{"formula": "Te3Se5", "functional": "SCAN", "state": "PBEsol geometry", "e_form_raw_mev_per_atom": 170, "total_energy_ev_per_cell": -210.8, "cell": [[3.817, 0.000, 0.000], [0.000, 7.652, 0.000], [0.000, -3.826, 7.682]], "species": ["Se", "Se", "Se", "Se", "Se", "Te", "Te", "Te"], "fractional_positions": [[0.000, 0.500, 0.500], [0.000, 0.000, 0.500], [0.000, 0.000, 0.000], [0.500, 0.757, 0.000], [0.500, 0.243, 0.000], [0.000, 0.500, 0.000], [0.500, 0.802, 0.605], [0.500, 0.198, 0.395]]}

=====

Entry 14:
{"formula": "Cs2TeMo3O12", "functional": "SCAN", "state": "PBEsol geometry", "e_form_raw_mev_per_atom": -2053, "total_energy_ev_per_cell": -658.5, "cell": [[7.390, 0.000, 0.000], [-3.695, 6.400, 0.000], [0.000, 0.000, 12.088]], "species": ["Te", "Te", "O", "O", "O", "O", "O", "O", "O", "O", "O", "O", "O", "O", "O", "O", "O", "O", "O", "O", "O", "O", "O", "O", "O", "O", "Cs", "Cs", "Cs", "Cs", "Mo", "Mo", "Mo", "Mo", "Mo", "Mo"], "fractional_positions": [[0.000, 0.000, 0.345], [0.000, 0.000, 0.845], [0.182, 0.384, 0.966], [0.144, 0.883, 0.270], [0.883, 0.739, 0.770], [0.910, 0.456, 0.642], [0.856, 0.117, 0.770], [0.818, 0.616, 0.466], [0.616, 0.798, 0.966], [0.249, 0.125, 0.094], [0.117, 0.261, 0.270], [0.090, 0.544, 0.142], [0.125, 0.876, 0.594], [0.202, 0.818, 0.966], [0.875, 0.124, 0.094], [0.456, 0.547, 0.142], [0.739, 0.856, 0.270], [0.124, 0.249, 0.594], [0.751, 0.875, 0.594], [0.261, 0.144, 0.770], [0.798, 0.182, 0.466], [0.547, 0.090, 0.642], [0.453, 0.910, 0.142], [0.876, 0.751, 0.094], [0.384, 0.202, 0.466], [0.544, 0.453, 0.642], [0.333, 0.667, 0.402], [0.667, 0.333, 0.902], [0.667, 0.333, 0.268], [0.333, 0.667, 0.768], [0.202, 0.338, 0.105], [0.798, 0.662, 0.605], [0.864, 0.202, 0.605], [0.662, 0.864, 0.105], [0.338, 0.136, 0.605], [0.136, 0.798, 0.105]]}

=====

Entry 15:
{"formula": "ScTa2Ag", "functional": "SCAN", "state": "PBEsol geometry", "total_energy_ev_per_cell": -178.2, "ef_ev_per_atom": 0.136, "cell": [[-1.424, -2.371, 1.265], [-0.638, -1.385, -3.313], [5.741, -3.303, 0.275]], "species": ["Ta", "Ta", "Sc", "Ag"], "fractional_positions": [[0.500, 0.500, 0.240], [0.000, 0.000, 0.016], [0.500, 0.500, 0.749], [0.000, 0.000, 0.496]]}

=====

Entry 16:
{"formula": "LaCrSe2", "functional": "SCAN", "state": "PBEsol geometry", "e_form_raw_mev_per_atom": -1360, "total_energy_ev_per_cell": -107.1, "cell": [[4.162, 0.000, 0.000], [2.081, 3.608, 0.061], [2.081, 1.095, 6.115]], "species": ["Se", "Se", "Cr", "La"], "fractional_positions": [[0.737, 0.238, 0.288], [0.263, 0.762, 0.712], [0.000, 0.500, 0.500], [0.500, 0.000, 0.000]]}

=====

Entry 17:
{"formula": "ZnP2H15C5NO9", "functional": "SCAN", "state": "PBEsol geometry", "total_energy_ev_per_cell": -935.1, "cell": [[-6.003, -3.566, -7.564], [1.716, -9.792, 3.255], [-9.146, 0.701, 6.928]], "species": ["O", "O", "O", "O", "O", "O", "O", "O", "O", "O", "O", "O", "O", "O", "O", "O", "O", "O", "O", "O", "O", "O", "O", "O", "O", "O", "O", "O", "O", "O", "O", "O", "O", "O", "O", "O", "C", "C", "C", "C", "C", "C", "C", "C", "C", "C", "C", "C", "C", "C", "C", "C", "C", "C", "C", "C", "H", "H", "H", "H", "H", "H", "H", "H", "H", "H", "H", "H", "H", "H", "H", "H", "H", "H", "H", "H", "H", "H", "H", "H", "H", "H", "H", "H", "H", "H", "H", "H", "H", "H", "H", "H", "H", "H", "H", "H", "H", "H", "H", "H", "H", "H", "H", "H", "H", "H", "H", "H", "H", "H", "H", "H", "H", "H", "H", "H", "Zn", "Zn", "Zn", "Zn", "N", "N", "N", "N", "P", "P", "P", "P", "P", "P", "P", "P"], "fractional_positions": [[0.458, 0.178, 0.974], [0.808, 0.454, 0.143], [0.969, 0.169, 0.798], [0.850, 0.552, 0.807], [0.048, 0.318, 0.446], [0.241, 0.273, 0.909], [0.081, 0.459, 0.795], [0.452, 0.682, 0.946], [0.758, 0.606, 0.436], [0.150, 0.052, 0.693], [0.759, 0.773, 0.591], [0.308, 0.046, 0.857], [0.419, 0.541, 0.295], [0.192, 0.954, 0.357], [0.540, 0.860, 0.076], [0.042, 0.822, 0.474], [0.259, 0.727, 0.409], [0.958, 0.322, 0.026], [0.460, 0.360, 0.424], [0.581, 0.041, 0.205], [0.031, 0.669, 0.702], [0.650, 0.448, 0.307], [0.242, 0.106, 0.064], [0.742, 0.394, 0.936], [0.960, 0.140, 0.576], [0.350, 0.948, 0.193], [0.692, 0.546, 0.643], [0.531, 0.831, 0.298], [0.258, 0.894, 0.564], [0.548, 0.182, 0.554], [0.469, 0.331, 0.202], [0.542, 0.678, 0.526], [0.952, 0.818, 0.054], [0.741, 0.227, 0.091], [0.040, 0.640, 0.924], [0.919, 0.959, 0.705], [0.340, 0.713, 0.878], [0.041, 0.452, 0.467], [0.959, 0.952, 0.033], [0.863, 0.062, 0.333], [0.160, 0.287, 0.378], [0.535, 0.974, 0.645], [0.035, 0.526, 0.355], [0.541, 0.048, 0.533], [0.637, 0.938, 0.833], [0.137, 0.562, 0.167], [0.459, 0.548, 0.967], [0.343, 0.646, 0.762], [0.157, 0.354, 0.262], [0.465, 0.474, 0.855], [0.363, 0.438, 0.667], [0.965, 0.026, 0.145], [0.843, 0.854, 0.238], [0.660, 0.213, 0.622], [0.657, 0.146, 0.738], [0.840, 0.787, 0.122], [0.375, 0.517, 0.021], [0.451, 0.471, 0.622], [0.253, 0.666, 0.713], [0.292, 0.037, 0.114], [0.928, 0.827, 0.292], [0.749, 0.186, 0.574], [0.549, 0.530, 0.017], [0.840, 0.682, 0.135], [0.572, 0.173, 0.792], [0.208, 0.963, 0.614], [0.340, 0.818, 0.865], [0.464, 0.370, 0.874], [0.549, 0.971, 0.878], [0.867, 0.166, 0.317], [0.448, 0.998, 0.696], [0.723, 0.961, 0.886], [0.428, 0.673, 0.708], [0.708, 0.537, 0.386], [0.660, 0.318, 0.635], [0.948, 0.502, 0.304], [0.249, 0.314, 0.426], [0.951, 0.470, 0.517], [0.367, 0.334, 0.683], [0.052, 0.002, 0.196], [0.125, 0.483, 0.521], [0.049, 0.970, 0.983], [0.494, 0.785, 0.040], [0.792, 0.463, 0.886], [0.875, 0.983, 0.979], [0.235, 0.053, 0.792], [0.763, 0.026, 0.184], [0.247, 0.334, 0.213], [0.633, 0.834, 0.817], [0.506, 0.285, 0.460], [0.049, 0.529, 0.122], [0.964, 0.130, 0.126], [0.735, 0.447, 0.208], [0.133, 0.666, 0.183], [0.625, 0.017, 0.479], [0.737, 0.974, 0.684], [0.777, 0.039, 0.386], [0.277, 0.461, 0.614], [0.451, 0.030, 0.483], [0.251, 0.686, 0.926], [0.263, 0.474, 0.816], [0.994, 0.715, 0.960], [0.951, 0.029, 0.378], [0.160, 0.182, 0.365], [0.751, 0.814, 0.074], [0.006, 0.215, 0.540], [0.223, 0.539, 0.114], [0.753, 0.834, 0.287], [0.072, 0.327, 0.208], [0.536, 0.870, 0.626], [0.036, 0.630, 0.374], [0.765, 0.553, 0.708], [0.552, 0.498, 0.804], [0.237, 0.526, 0.316], [0.265, 0.947, 0.292], [0.747, 0.166, 0.787], [0.556, 0.199, 0.116], [0.056, 0.301, 0.884], [0.444, 0.699, 0.384], [0.944, 0.801, 0.616], [0.648, 0.005, 0.721], [0.148, 0.495, 0.279], [0.852, 0.995, 0.221], [0.352, 0.505, 0.779], [0.497, 0.920, 0.197], [0.997, 0.580, 0.803], [0.687, 0.654, 0.548], [0.187, 0.846, 0.452], [0.813, 0.346, 0.048], [0.503, 0.420, 0.303], [0.003, 0.080, 0.697], [0.313, 0.154, 0.952]]}

=====

Entry 18:
{"formula": "KZrIN2", "functional": "SCAN", "state": "PBEsol geometry", "e_form_raw_mev_per_atom": 1797, "total_energy_ev_per_cell": -85.4, "cell": [[-3.449, 2.887, -0.941], [-2.792, -2.454, 2.702], [1.499, 3.262, 4.512]], "species": ["Zr", "N", "N", "I", "K"], "fractional_positions": [[0.500, 0.500, 0.500], [0.000, 0.500, 0.000], [0.500, 0.000, 0.000], [0.000, 0.000, 0.500], [0.000, 0.000, 0.000]]}

=====

Entry 19:
{"formula": "LaReF3", "functional": "SCAN", "state": "PBEsol geometry", "e_form_raw_mev_per_atom": -1759, "total_energy_ev_per_cell": -133.6, "cell": [[4.695, 0.000, 0.000], [0.000, 4.695, 0.000], [0.000, 0.000, 4.695]], "species": ["F", "F", "F", "La", "Re"], "fractional_positions": [[0.000, 0.000, 0.500], [0.500, 0.000, 0.000], [0.000, 0.500, 0.000], [0.000, 0.000, 0.000], [0.500, 0.500, 0.500]]}

=====

Density? In order: 9.63, 2.28, 9.48, 3.36, 7.55, 3.03, 7.61, 10.25, 4.29, 8.87, 6.85, 3.94, 5.76, 5.07, 11.62, 6.33, 1.93, 3.89, 6.13 g/cm³.